(1)
Nd3EuMn | Alexandria | PBE | optimized geometry; calculated formation energy = 0.226 eV/atom; symmetry = No. 221; N(E_F) = 1.2544 states/eV per atom
1.0
5.515 0.000 0.000
0.000 5.515 0.000
0.000 0.000 5.515
Nd Eu Mn
3 1 1
Direct
0.000 0.000 0.500
0.000 0.500 0.000
0.500 0.000 0.000
0.500 0.500 0.500
0.000 0.000 0.000

=====

(2)
CaCoMo4 | Alexandria | PBE | optimized geometry; calculated formation energy = 0.626 eV/atom; symmetry = No. 216; N(E_F) = 1.1236 states/eV per atom
1.0
0.000 3.763 3.763
3.763 0.000 3.763
3.763 3.763 0.000
Ca Co Mo
1 1 4
Direct
0.000 0.000 0.000
0.750 0.750 0.750
0.375 0.375 0.375
0.375 0.375 0.875
0.375 0.875 0.375
0.875 0.375 0.375

=====

(3)
VHgTe2 | Alexandria | PBE | optimized geometry; formation energy without anion corrections = -0.206 eV/atom; symmetry = No. 2; N(E_F) = 0.2193 states/eV per atom
1.0
3.538 0.000 0.000
1.761 6.380 0.000
1.228 0.842 9.828
V Hg Te
2 2 4
Direct
0.094 0.285 0.035
0.906 0.715 0.965
0.055 0.745 0.517
0.945 0.255 0.483
0.311 0.993 0.839
0.427 0.531 0.164
0.573 0.469 0.836
0.689 0.007 0.161

=====

(4)
SbPRuCl2 | Alexandria | PBE | optimized geometry; formation energy without anion corrections = 1.027 eV/atom; distance to the lowest polymorph of the same formula = 726 meV per atom; symmetry = No. 123; N(E_F) = 1.7312 states/eV per atom
1.0
5.131 0.000 0.000
0.000 5.131 0.000
0.000 0.000 5.321
Sb P Ru Cl
1 1 1 2
Direct
0.000 0.000 0.000
0.000 0.000 0.500
0.500 0.500 0.500
0.000 0.500 0.000
0.500 0.000 0.000

=====

(5)
Er3Sc7Os4 | Alexandria | PBE | optimized geometry; calculated formation energy = -0.247 eV/atom; symmetry = No. 12; N(E_F) = 0.8966 states/eV per atom
1.0
8.318 -2.057 0.000
8.318 2.057 0.000
-5.600 0.000 9.006
Er Sc Os
3 7 4
Direct
0.000 0.000 0.000
0.308 0.308 0.293
0.692 0.692 0.707
0.000 0.000 0.500
0.169 0.169 0.423
0.320 0.320 0.984
0.489 0.489 0.729
0.511 0.511 0.271
0.680 0.680 0.016
0.831 0.831 0.577
0.111 0.111 0.816
0.324 0.324 0.729
0.676 0.676 0.271
0.889 0.889 0.184

=====

(6)
Cu3IrRh | Alexandria | PBE | optimized geometry; calculated formation energy = 1.428 eV/atom; distance to the lowest polymorph of the same formula = 0 meV per atom; symmetry = No. 221; N(E_F) = 1.4972 states/eV per atom
1.0
4.569 0.000 0.000
0.000 4.569 0.000
0.000 0.000 4.569
Cu Ir Rh
3 1 1
Direct
0.000 0.000 0.500
0.000 0.500 0.000
0.500 0.000 0.000
0.000 0.000 0.000
0.500 0.500 0.500

=====

(7)
Be2CuSi | Alexandria | PBE | optimized geometry; formation energy without anion corrections = 0.115 eV/atom; symmetry = No. 123; N(E_F) = 0.1447 states/eV per atom
1.0
3.527 0.000 0.000
0.000 3.527 0.000
0.000 0.000 3.429
Be Cu Si
2 1 1
Direct
0.000 0.500 0.000
0.500 0.000 0.000
0.000 0.000 0.500
0.500 0.500 0.500

=====

(8)
Y2GaFeN | Alexandria | PBE | optimized geometry; formation energy without anion corrections = -0.761 eV/atom; symmetry = No. 123; N(E_F) = 0.5394 states/eV per atom
1.0
4.879 0.000 0.000
0.000 4.879 0.000
0.000 0.000 3.762
Y Ga Fe N
2 1 1 1
Direct
0.000 0.500 0.000
0.500 0.000 0.000
0.000 0.000 0.500
0.500 0.500 0.500
0.500 0.500 0.000

=====

Which formula does entry 6 have? Cu3IrRh

=====

Which of these has the highest N(E_F)? SbPRuCl2

=====

The lowest N(E_F) belongs to which entry? Be2CuSi